No. 1
Below is an optimized crystal structure of Ca2SnS4, with properties calculated at the PBEsol level.

The structure in extended XYZ format:
```
7
Lattice="-2.908 2.908 6.199 2.908 -2.908 6.199 2.908 2.908 -6.199" Properties=species:S:1:pos:R:3 pbc="T T T"
Ca 0.000 0.000 0.000
Ca 0.000 2.908 3.100
Sn 0.000 0.000 6.199
S 1.409 -1.233 4.695
S 1.675 1.499 1.505
S 1.499 4.142 -1.505
S 1.233 1.409 7.704
```

Summary:
- formation energy from raw total energies (kJ/mol of formula units) = -795
- energy above the lowest structure with this stoichiometry (kJ per mole of atoms) = 23.5
- space-group type = No. 82

---

No. 2
Below is an optimized crystal structure of Zn2Ag, with properties calculated at the PBEsol level.

The structure in extended XYZ format:
```
6
Lattice="-1.369 2.033 8.647 1.369 -2.033 8.647 1.369 2.033 -8.647" Properties=species:S:1:pos:R:3 pbc="T T T"
Zn 0.000 1.016 0.716
Zn 0.000 1.016 3.273
Zn 1.369 1.016 5.375
Zn 1.369 1.016 7.931
Ag 1.369 1.016 -1.890
Ag 0.000 1.016 10.537
```

Summary:
- space-group type = No. 74
- energy of formation from the pure elements (eV/atom) = 0.0364

---

No. 3
Below is an optimized crystal structure of Be2Au2S, with properties calculated at the PBEsol level.

The structure in extended XYZ format:
```
10
Lattice="7.066 0.000 0.000 0.000 7.066 0.000 0.000 0.000 2.752" Properties=species:S:1:pos:R:3 pbc="T T T"
Be 1.016 2.517 0.000
Be 2.517 6.051 0.000
Be 4.549 1.016 0.000
Be 6.051 4.549 0.000
Au 1.046 4.579 1.376
Au 2.487 1.046 1.376
Au 4.579 6.020 1.376
Au 6.020 2.487 1.376
S 0.000 0.000 1.376
S 3.533 3.533 1.376
```

Summary:
- formation energy from raw total energies (kJ/mol of formula units) = 51
- space-group type = No. 127

---

no.,N(E_F) (states/eV/atom)
1,0.00
2,0.29
3,0.34